(1)
A relaxed structure of LiCoPb, computed with PBE.

Output
Space-group type: No. 216
Calculated total energy, eV/atom: -3.96
Total magnetic moment, μB per cell: 0.00

Cell lengths 4.291, 4.291, 4.291 Å; angles 60.00, 60.00, 60.00 degrees
Atoms (fractional coordinates):
Co 0.250 0.250 0.250
Pb 0.500 0.500 0.500
Li 0.000 0.000 0.000



(2)
A relaxed structure of Fe2SiSb, computed with PBE.

Output
Space-group type: No. 10
Total magnetic moment, μB per cell: 2.08
Energy relative to the elements, uncorrected, kJ/mol of formula units: 94

Cell lengths 3.021, 4.920, 5.001 Å; angles 49.49, 90.00, 90.00 degrees
Site moments in Bohr magnetons follow the coordinates.
Atoms (fractional coordinates):
Sb 0.500 0.500 0.500  -0.03
Si 0.000 0.000 0.500  -0.03
Fe 0.000 0.000 0.000  0.93
Fe 0.500 0.500 0.000  1.27



(3)
A relaxed structure of MoBr3, computed with PBE.

Output
Space-group type: No. 166
Total magnetic moment, μB per cell: 0.00
Energy relative to the elements, uncorrected, kJ/mol of formula units: 162

Cell lengths 12.660, 12.660, 12.660 Å; angles 14.37, 14.37, 14.37 degrees
Atoms (fractional coordinates):
Br 0.500 0.500 0.500
Br 0.064 0.064 0.064
Mo 0.000 0.000 0.000
Br 0.936 0.936 0.936



(4)
A relaxed structure of CdPtAu2, computed with PBE.

Output
Space-group type: No. 25
Calculated total energy, eV/atom: -3.52
Total magnetic moment, μB per cell: 0.00

Cell lengths 4.081, 2.979, 6.581 Å; angles 63.09, 90.00, 90.00 degrees
Atoms (fractional coordinates):
Pt 0.500 0.754 0.746
Au 0.500 0.254 0.246
Cd 0.000 0.491 0.510
Au 0.000 0.001 0.998



(5)
A relaxed structure of BeSi3, computed with PBE.

Output
Space-group type: No. 123
Total magnetic moment, μB per cell: 0.00
Energy above the most stable polymorph in this dataset, meV per atom: 129.9
Energy relative to the elements, uncorrected, kJ/mol of formula units: 180

Cell lengths 3.204, 3.204, 5.051 Å; angles 90.00, 90.00, 90.00 degrees
Atoms (fractional coordinates):
Si 0.500 0.500 0.237
Si 0.500 0.500 0.763
Be 0.000 0.000 0.000
Si 0.000 0.000 0.500



(6)
A relaxed structure of BaAlAs2Br, computed with PBE.

Output
Space-group type: No. 123
Total magnetic moment, μB per cell: 0.00
Energy above the most stable polymorph in this dataset, meV per atom: 0.0
Energy relative to the elements, uncorrected, kJ/mol of formula units: -319

Cell lengths 4.859, 4.859, 5.880 Å; angles 90.00, 90.00, 90.00 degrees
Atoms (fractional coordinates):
Al 0.000 0.000 0.000
Br 0.000 0.000 0.500
As 0.000 0.500 0.000
As 0.500 0.000 0.000
Ba 0.500 0.500 0.500



(7)
A relaxed structure of SmHoScTl, computed with PBE.

Output
Space-group type: No. 216
Total magnetic moment, μB per cell: 1.33
Energy above the most stable polymorph in this dataset, meV per atom: 111.2

Cell lengths 5.397, 5.397, 5.397 Å; angles 60.00, 60.00, 60.00 degrees
Site moments in Bohr magnetons follow the coordinates.
Atoms (fractional coordinates):
Sm 0.750 0.750 0.750  0.17
Ho 0.250 0.250 0.250  0.28
Sc 0.500 0.500 0.500  0.46
Tl 0.000 0.000 0.000  -0.01



(8)
A relaxed structure of Sm2BS4, computed with PBE.

Output
Space-group type: No. 11
Total magnetic moment, μB per cell: 0.00
Energy relative to the elements, uncorrected, kJ/mol of formula units: -923

Cell lengths 6.400, 6.098, 7.496 Å; angles 90.00, 107.08, 90.00 degrees
Atoms (fractional coordinates):
Sm 0.232 0.250 0.435
Sm 0.740 0.750 0.061
S 0.882 0.250 0.067
S 0.519 0.494 0.745
B 0.286 0.750 0.200
B 0.714 0.250 0.800
S 0.481 0.506 0.255
Sm 0.768 0.750 0.565
S 0.519 0.006 0.745
S 0.108 0.750 0.378
Sm 0.260 0.250 0.939
S 0.481 0.994 0.255
S 0.892 0.250 0.622
S 0.118 0.750 0.933



Which value of total magnetic moment does entry 7 give?
1.33 μB per cell



Please write out number 5 again, unchanged.
A relaxed structure of BeSi3, computed with PBE.

Output
Space-group type: No. 123
Total magnetic moment, μB per cell: 0.00
Energy above the most stable polymorph in this dataset, meV per atom: 129.9
Energy relative to the elements, uncorrected, kJ/mol of formula units: 180

Cell lengths 3.204, 3.204, 5.051 Å; angles 90.00, 90.00, 90.00 degrees
Atoms (fractional coordinates):
Si 0.500 0.500 0.237
Si 0.500 0.500 0.763
Be 0.000 0.000 0.000
Si 0.000 0.000 0.500



Copy entry 2 word for word.
A relaxed structure of Fe2SiSb, computed with PBE.

Output
Space-group type: No. 10
Total magnetic moment, μB per cell: 2.08
Energy relative to the elements, uncorrected, kJ/mol of formula units: 94

Cell lengths 3.021, 4.920, 5.001 Å; angles 49.49, 90.00, 90.00 degrees
Site moments in Bohr magnetons follow the coordinates.
Atoms (fractional coordinates):
Sb 0.500 0.500 0.500  -0.03
Si 0.000 0.000 0.500  -0.03
Fe 0.000 0.000 0.000  0.93
Fe 0.500 0.500 0.000  1.27